i | Entry from OQMD: a relaxed structure of Na2Ta (PBE).

Structure (extended XYZ):
```
3
Lattice="0.000 3.696 3.696 3.696 0.000 3.696 3.696 3.696 0.000" Properties=species:S:1:pos:R:3 pbc="T T T"
Na 1.848 1.848 1.848
Na 5.544 5.544 5.544
Ta 0.000 0.000 0.000
```

Density, Mg/m³: 3.7
V, A^3/atom: 33.659
SG: No. 225

=====

ii | Entry from OQMD: a relaxed structure of Na2Ta (PBE).

Structure (extended XYZ):
```
6
Lattice="0.000 3.929 3.929 3.929 0.000 3.929 3.929 3.929 0.000" Properties=species:S:1:pos:R:3 pbc="T T T"
Na 0.000 0.000 0.000
Na 1.964 1.964 0.000
Na 1.964 0.000 1.964
Na 0.000 1.964 1.964
Ta 2.947 2.947 2.947
Ta 4.911 4.911 4.911
```

Density, Mg/m³: 6.2
V, A^3/atom: 20.216
SG: No. 227

=====

iii | Entry from OQMD: a relaxed structure of Na2Ta (PBE).

Structure (extended XYZ):
```
12
Lattice="6.185 0.000 0.000 -3.092 5.356 0.000 0.000 0.000 8.140" Properties=species:S:1:pos:R:3 pbc="T T T"
Na 0.000 0.000 0.000
Na 0.000 0.000 4.070
Na 0.000 1.956 2.035
Na -1.399 4.378 2.035
Na 1.694 0.978 6.105
Na 1.399 4.378 2.035
Na 4.491 0.978 6.105
Na 3.092 3.400 6.105
Ta 0.000 3.571 4.927
Ta 0.000 3.571 7.283
Ta 3.092 1.785 0.857
Ta 3.092 1.785 3.213
```

Density, Mg/m³: 5.6
V, A^3/atom: 22.472
SG: No. 194

=====

In terms of stability, iii leads; the second structure lies 0.174 eV/atom higher.